[1]
RbBe2GeS: relaxed, PBEsol.

Cell lengths 4.310, 4.310, 5.746 Å; angles 90.00, 90.00, 90.00 degrees
Positions (direct):
1 Rb 0.000 0.000 0.000
2 Be 0.000 0.500 0.500
3 Be 0.500 0.000 0.500
4 Ge 0.500 0.500 0.000
5 S 0.000 0.000 0.500

Output
space-group type	P4/mmm
DOS(E_F)	3.64	states/eV/f.u.
formation energy (no corrections)	757	meV per atom
energy	-0.214	Ry per atom

[2]
KYBe2: relaxed, PBEsol.

Cell lengths 6.755, 3.903, 8.303 Å; angles 90.00, 105.41, 90.00 degrees
Positions (direct):
1 K 0.000 0.000 0.000
2 K 0.500 0.500 0.000
3 Y 0.330 0.500 0.480
4 Y 0.830 0.000 0.480
5 Be 0.062 0.500 0.681
6 Be 0.228 0.000 0.681
7 Be 0.562 0.000 0.681
8 Be 0.728 0.500 0.681

Output
space-group type	Cm
DOS(E_F)	2.44	states/eV/f.u.
energy	-0.264	Ry per atom

Repeat the first record exactly.
RbBe2GeS: relaxed, PBEsol.

Cell lengths 4.310, 4.310, 5.746 Å; angles 90.00, 90.00, 90.00 degrees
Positions (direct):
1 Rb 0.000 0.000 0.000
2 Be 0.000 0.500 0.500
3 Be 0.500 0.000 0.500
4 Ge 0.500 0.500 0.000
5 S 0.000 0.000 0.500

Output
space-group type	P4/mmm
DOS(E_F)	3.64	states/eV/f.u.
formation energy (no corrections)	757	meV per atom
energy	-0.214	Ry per atom

- Which of these has the highest energy?
  RbBe2GeS